6
Lattice="-3.0874 0.9311 -0.2913 0.5415 -0.1773 -6.3058 -2.0189 -6.6897 0.0147" Properties=species:S:1:pos:R:3 comment="Sb2Mo, relaxed, DFT PBE-GGA" crystal_system=orthorhombic formation_energy_uncorrected_ev_per_atom=0.17 magnetic_moment_mub_per_fu=0.00 final_energy_ry_per_atom=-0.4550 pbc="T T T"
Sb -1.1936 -4.3365 -1.2107
Sb -0.2838 -2.5305 -5.0804
Sb -2.8982 -5.3897 -4.5061
Sb -1.6667 -0.5461 -2.0763
Mo 0.0000 0.0000 0.0000
Mo -2.2824 -2.9679 -3.2912

=====

18
Lattice="-0.4461 7.5904 0.2870 -6.3358 -4.1992 0.3454 1.1997 -0.5217 15.6640" Properties=species:S:1:pos:R:3 comment="NpTlVI6, relaxed, DFT PBE-GGA" crystal_system=trigonal formation_energy_uncorrected_ev_per_atom=-0.66 magnetic_moment_mub_per_fu=7.00 final_energy_ry_per_atom=-0.3237 pbc="T T T"
Np -2.1094 3.5301 4.2224
Np -3.4728 -0.6606 12.0739
Tl 0.0000 0.0000 0.0000
Tl 0.5998 -0.2609 7.8320
V -4.0727 -0.3997 4.2419
V -1.5096 3.2692 12.0544
I -4.2334 1.9431 2.5951
I -2.2159 -1.4551 2.3274
I 0.4418 2.4032 10.1390
I -3.3664 4.3246 13.9689
I -2.0963 0.8917 5.8707
I -3.7013 -2.7296 5.8730
I 0.5828 4.3844 13.6685
I -6.0240 0.4663 6.1574
I -1.8810 5.5991 10.4233
I -6.1651 -1.5148 2.6279
I -3.4859 1.9778 10.4256
I -1.3489 0.9264 13.7012

=====

6
Lattice="6.3485 0.0000 0.0000 3.1742 5.4979 0.0000 3.1742 1.8326 5.1835" Properties=species:S:1:pos:R:3 comment="AcCe4In, relaxed, DFT PBE-GGA" ef_ev_per_atom=0.089 crystal_system=cubic magnetic_moment_mub_per_fu=1.68 final_energy_ry_per_atom=-0.3681 pbc="T T T"
Ac 0.0000 0.0000 0.0000
Ce 6.3485 3.6653 0.8539
Ce 6.3485 2.0268 3.1711
Ce 7.7675 4.4845 3.1711
Ce 4.9295 4.4845 3.1711
In 3.1742 1.8326 1.2959

=====

11
Lattice="-4.2768 -1.7436 0.7444 3.1019 -5.8942 4.0157 0.9040 6.9707 6.8211" Properties=species:S:1:pos:R:3 comment="Nd8NiSb2, relaxed, DFT PBE-GGA" crystal_system=monoclinic formation_energy_uncorrected_ev_per_atom=-0.43 magnetic_moment_mub_per_fu=0.00 final_energy_ry_per_atom=-0.3802 pbc="T T T"
Nd 0.5050 2.0879 7.7918
Nd -2.4201 0.7711 2.6020
Nd -0.8314 -1.1993 7.1142
Nd -2.6991 3.9098 8.3511
Nd 0.5605 0.5322 4.4670
Nd 2.1492 -1.4382 8.9792
Nd -0.7759 -2.7550 3.7894
Nd 2.4282 -4.5770 3.2301
Ni -2.1384 -0.8718 0.3722
Sb -2.1922 1.6088 5.8736
Sb 1.9213 -2.2759 5.7076